1.
# ThInCu5

A relaxed structure of ThInCu5 (PBE-GGA, Alexandria).

a = 8.3544 Å, b = 5.1077 Å, c = 10.6387 Å
α = 90.00°, β = 90.00°, γ = 90.00°
Closest atoms and distances in Å follow each position.
Fractional coordinates of all 28 atoms:
1 Th 0.2467 0.2500 0.0590  8 Cu 2.93-3.27
2 Th 0.2533 0.7500 0.5590  8 Cu 2.93-3.27
3 Th 0.7467 0.2500 0.4410  8 Cu 2.93-3.27
4 Th 0.7533 0.7500 0.9410  8 Cu 2.93-3.27
5 In 0.1394 0.7500 0.8611  8 Cu 2.68-2.86
6 In 0.3606 0.2500 0.3611  8 Cu 2.68-2.86
7 In 0.6394 0.7500 0.6389  8 Cu 2.68-2.86
8 In 0.8606 0.2500 0.1389  8 Cu 2.68-2.86
9 Cu 0.0625 0.7500 0.1058  4 Cu 2.55-2.61, 1 In 2.68
10 Cu 0.0676 0.0012 0.3124  7 Cu 2.52-2.57, 1 In 2.81
11 Cu 0.0676 0.4988 0.3124  7 Cu 2.52-2.57, 1 In 2.81
12 Cu 0.0843 0.2500 0.5166  5 Cu 2.52-2.57
13 Cu 0.1814 0.2500 0.7457  7 Cu 2.52-2.61
14 Cu 0.3186 0.7500 0.2457  7 Cu 2.52-2.61
15 Cu 0.4157 0.7500 0.0166  5 Cu 2.52-2.57
16 Cu 0.4324 0.5012 0.8124  7 Cu 2.52-2.57, 1 In 2.81
17 Cu 0.4324 0.9988 0.8124  7 Cu 2.52-2.57, 1 In 2.81
18 Cu 0.4375 0.2500 0.6058  4 Cu 2.55-2.61, 1 In 2.68
19 Cu 0.5625 0.7500 0.3942  4 Cu 2.55-2.61, 1 In 2.68
20 Cu 0.5676 0.0012 0.1876  7 Cu 2.52-2.57, 1 In 2.81
21 Cu 0.5676 0.4988 0.1876  7 Cu 2.52-2.57, 1 In 2.81
22 Cu 0.5843 0.2500 0.9834  5 Cu 2.52-2.57
23 Cu 0.6814 0.2500 0.7543  7 Cu 2.52-2.61
24 Cu 0.8186 0.7500 0.2543  7 Cu 2.52-2.61
25 Cu 0.9157 0.7500 0.4834  5 Cu 2.52-2.57
26 Cu 0.9324 0.5012 0.6876  7 Cu 2.52-2.57, 1 In 2.81
27 Cu 0.9324 0.9988 0.6876  7 Cu 2.52-2.57, 1 In 2.81
28 Cu 0.9375 0.2500 0.8942  4 Cu 2.55-2.61, 1 In 2.68

Output
- Total magnetic moment: 0.00 μB/cell
- ΔH_f (0 K): -212 meV per atom
- Uncorrected energy: -128.49 eV for the cell shown



2.
# Th6In2Cu

A relaxed structure of Th6In2Cu (PBE-GGA, Alexandria).

a = 8.9641 Å, b = 8.9641 Å, c = 3.7706 Å
α = 90.00°, β = 90.00°, γ = 120.00°
Closest atoms and distances in Å follow each position.
Fractional coordinates of all 9 atoms:
1 Th 0.0000 0.2535 0.0000  2 Cu 2.95
2 Th 0.0000 0.5986 0.5000  4 In 3.32, 1 Cu 3.60, 6 Th 3.62-3.67
3 Th 0.2535 0.0000 0.0000  2 Cu 2.95
4 Th 0.4014 0.4014 0.5000  4 In 3.32, 1 Cu 3.60, 6 Th 3.62-3.67
5 Th 0.5986 0.0000 0.5000  4 In 3.32, 1 Cu 3.60, 6 Th 3.62-3.67
6 Th 0.7465 0.7465 0.0000  2 Cu 2.95
7 In 0.3333 0.6667 0.0000  9 Th 3.32-3.40
8 In 0.6667 0.3333 0.0000  9 Th 3.32-3.40
9 Cu 0.0000 0.0000 0.5000  6 Th 2.95

Output
- Total magnetic moment: 0.00 μB/cell
- ΔH_f (0 K): -140 meV per atom
- Uncorrected energy: -55.35 eV for the cell shown



3.
# ThInCu3

A relaxed structure of ThInCu3 (PBE-GGA, Alexandria).

a = 12.6106 Å, b = 12.6106 Å, c = 4.2587 Å
α = 90.00°, β = 90.00°, γ = 163.57°
Closest atoms and distances in Å follow each position.
Fractional coordinates of all 10 atoms:
1 Th 0.0768 0.9232 0.7500  12 Cu 3.05-3.18
2 Th 0.9232 0.0768 0.2500  12 Cu 3.05-3.18
3 In 0.2087 0.7913 0.2500  7 Cu 2.74-2.87
4 In 0.7913 0.2087 0.7500  7 Cu 2.74-2.87
5 Cu 0.3184 0.6816 0.2500  2 Cu 2.54, 1 In 2.74
6 Cu 0.3739 0.6261 0.7500  3 Cu 2.50-2.54, 2 In 2.74
7 Cu 0.4741 0.5259 0.7500  3 Cu 2.49-2.50
8 Cu 0.5259 0.4741 0.2500  3 Cu 2.49-2.50
9 Cu 0.6261 0.3739 0.2500  3 Cu 2.50-2.54, 2 In 2.74
10 Cu 0.6816 0.3184 0.7500  2 Cu 2.54, 1 In 2.74

Output
- Total magnetic moment: 0.00 μB/cell
- ΔH_f (0 K): -109 meV per atom
- Uncorrected energy: -45.99 eV for the cell shown